Entry 1:
! Ca3Cl5 GGA-PBE relaxed; values from VASP
&SYSTEM
  ibrav = 0, nat = 16, ntyp = 2
/
ATOMIC_SPECIES
Ca 40.08 Ca.upf
Cl 35.45 Cl.upf
ATOMIC_POSITIONS crystal
Ca 0.396 0.000 0.750
Ca 0.396 0.396 0.250
Ca 0.000 0.396 0.750
Ca 0.000 0.604 0.250
Ca 0.604 0.604 0.750
Ca 0.604 0.000 0.250
Cl 0.667 0.333 0.000
Cl 0.667 0.333 0.500
Cl 0.739 0.739 0.250
Cl 0.333 0.667 0.000
Cl 0.333 0.667 0.500
Cl 0.261 0.261 0.750
Cl 0.000 0.739 0.750
Cl 0.739 0.000 0.750
Cl 0.261 0.000 0.250
Cl 0.000 0.261 0.250
CELL_PARAMETERS angstrom
-4.418 -6.361 -1.987
7.854 -0.821 1.252
-1.256 -1.319 7.013
! formation energy from raw total energies	-16.45	eV per formula unit
! V	25.1	Å³ per atom
! space group	No. 193
! DOS at the Fermi energy	2.96	states/eV/cell
! crystal system	hexagonal
! electronic total energy	-3.96	eV/atom

=====

Entry 2:
! CaCl GGA-PBE relaxed; values from VASP
&SYSTEM
  ibrav = 0, nat = 4, ntyp = 2
/
ATOMIC_SPECIES
Cl 35.45 Cl.upf
Ca 40.08 Ca.upf
ATOMIC_POSITIONS crystal
Cl 0.500 0.500 0.000
Cl 0.750 0.250 0.500
Ca 0.250 0.750 0.500
Ca 0.000 0.000 0.000
CELL_PARAMETERS angstrom
8.312 0.002 0.000
6.387 5.319 0.000
-7.350 -2.661 2.827
! formation energy from raw total energies	-2.77	eV per formula unit
! V	31.2	Å³ per atom
! space group	No. 141
! DOS at the Fermi energy	2.59	states/eV/cell
! crystal system	tetragonal
! electronic total energy	-3.31	eV/atom

=====

Entry 3:
! CaCl5 GGA-PBE relaxed; values from VASP
&SYSTEM
  ibrav = 0, nat = 6, ntyp = 2
/
ATOMIC_SPECIES
Ca 40.08 Ca.upf
Cl 35.45 Cl.upf
ATOMIC_POSITIONS crystal
Ca 0.000 0.000 0.500
Cl 0.667 0.333 0.500
Cl 0.333 0.667 0.500
Cl 0.710 0.000 0.000
Cl 0.290 0.290 0.000
Cl 0.000 0.710 0.000
CELL_PARAMETERS angstrom
-2.298 5.052 3.878
-4.150 -3.050 -4.395
-1.057 -2.669 2.850
! formation energy from raw total energies	-3.87	eV per formula unit
! V	26.8	Å³ per atom
! space group	No. 189
! excess energy over the best structure of this formula in the dataset	9.23	kcal/mol of atoms
! DOS at the Fermi energy	5.86	states/eV/cell
! crystal system	hexagonal
! electronic total energy	-2.52	eV/atom

=====

Entry 4:
! CaCl GGA-PBE relaxed; values from VASP
&SYSTEM
  ibrav = 0, nat = 8, ntyp = 2
/
ATOMIC_SPECIES
Ca 40.08 Ca.upf
Cl 35.45 Cl.upf
ATOMIC_POSITIONS crystal
Ca 0.500 0.500 0.000
Ca 0.500 0.000 0.500
Ca 0.000 0.500 0.500
Ca 0.000 0.000 0.000
Cl 0.250 0.250 0.250
Cl 0.750 0.750 0.250
Cl 0.250 0.750 0.750
Cl 0.750 0.250 0.750
CELL_PARAMETERS angstrom
6.449 0.000 0.000
0.000 6.449 0.000
0.000 0.000 6.449
! formation energy from raw total energies	-2.91	eV per formula unit
! V	33.5	Å³ per atom
! space group	No. 216
! DOS at the Fermi energy	2.97	states/eV/cell
! crystal system	cubic
! electronic total energy	-3.38	eV/atom

=====

no.,M_tot (μB per cell)
1,0.000
2,0.771
3,3.042
4,3.440